Entry 1:
Entry from OQMD: an optimized crystal structure of LiLuAsIr (PBE-GGA).

Structure (POSCAR):
```
LiLuAsIr
1.0
0.000 3.262 3.262
3.262 0.000 3.262
3.262 3.262 0.000
Li Ir Lu As
1 1 1 1
direct
0.750 0.750 0.750
0.000 0.000 0.000
0.250 0.250 0.250
0.500 0.500 0.500
```

Total magnetic moment ... 0.0 μB/f.u.
Theoretical density ... 10.74 g cm⁻³
Excess energy over the best structure of this formula in the dataset ... 157 meV per atom

***

Entry 2:
Entry from OQMD: an optimized crystal structure of TbTeNO (PBE-GGA).

Structure (POSCAR):
```
TbTeNO
1.0
-5.449 0.658 3.190
-2.169 -6.314 -2.402
2.638 -2.844 5.094
Tb Te N O
4 4 4 4
direct
0.101 0.186 0.003
0.399 0.186 0.503
0.899 0.814 0.503
0.601 0.814 0.003
0.409 0.727 0.456
0.091 0.727 0.956
0.591 0.273 0.956
0.909 0.273 0.456
0.573 0.902 0.654
0.073 0.098 0.654
0.427 0.098 0.154
0.927 0.902 0.154
0.420 0.484 0.590
0.580 0.516 0.090
0.920 0.516 0.590
0.080 0.484 0.090
```

Total magnetic moment ... 0.0 μB/f.u.
Theoretical density ... 7.29 g cm⁻³
Excess energy over the best structure of this formula in the dataset ... 406 meV per atom

***

Entry 3:
Entry from OQMD: an optimized crystal structure of LiAlGePt (PBE-GGA).

Structure (POSCAR):
```
LiAlGePt
1.0
4.078 1.533 0.206
0.811 3.776 2.027
2.133 0.019 3.805
Al Ge Li Pt
1 1 1 1
direct
0.500 0.500 0.500
0.000 0.000 0.000
0.750 0.750 0.750
0.250 0.250 0.250
```

Total magnetic moment ... 0.0 μB/f.u.
Theoretical density ... 8.54 g cm⁻³
Excess energy over the best structure of this formula in the dataset ... 0 meV per atom

***

Entry 4:
Entry from OQMD: an optimized crystal structure of BaHg2O4 (PBE-GGA).

Structure (POSCAR):
```
BaHg2O4
1.0
5.002 -4.994 0.000
-5.002 0.000 -4.994
5.002 4.994 0.000
O Hg Ba
8 4 2
direct
0.146 0.708 0.854
0.146 0.292 0.854
0.604 0.208 0.812
0.604 0.208 0.396
0.146 0.292 0.438
0.604 0.792 0.396
0.188 0.792 0.396
0.562 0.708 0.854
0.375 0.750 0.125
0.375 0.250 0.625
0.375 0.750 0.625
0.875 0.250 0.625
0.750 0.500 0.250
0.000 0.000 0.000
```

Calculated total energy ... -54.035 eV per cell
Theoretical density ... 8.02 g cm⁻³

***

Entry 5:
Entry from OQMD: an optimized crystal structure of Ag3SbS3 (PBE-GGA).

Structure (POSCAR):
```
Ag3SbS3
1.0
-6.530 1.992 1.746
-5.883 -2.761 -2.724
5.761 -10.623 12.127
S Ag Sb
12 12 4
direct
0.016 0.659 0.913
0.001 0.302 0.356
0.724 0.420 0.676
0.659 0.016 0.413
0.698 0.999 0.144
0.984 0.341 0.087
0.341 0.984 0.587
0.420 0.724 0.176
0.302 0.001 0.856
0.580 0.276 0.824
0.999 0.698 0.644
0.276 0.580 0.324
0.981 0.153 0.937
0.847 0.019 0.563
0.097 0.160 0.214
0.592 0.679 0.364
0.321 0.408 0.136
0.679 0.592 0.864
0.160 0.097 0.714
0.903 0.840 0.786
0.840 0.903 0.286
0.408 0.321 0.636
0.019 0.847 0.063
0.153 0.981 0.437
0.589 0.706 0.066
0.411 0.294 0.934
0.294 0.411 0.434
0.706 0.589 0.566
```

Theoretical density ... 5.49 g cm⁻³
Excess energy over the best structure of this formula in the dataset ... 3 meV per atom

***

Entry 6:
Entry from OQMD: an optimized crystal structure of Gd2FeCoSi2 (PBE-GGA).

Structure (POSCAR):
```
Gd2FeCoSi2
1.0
-1.005 2.050 3.266
-2.390 -2.980 1.135
5.092 -2.814 3.333
Gd Si Co Fe
2 2 1 1
direct
0.500 0.000 0.318
0.000 0.500 0.682
0.500 0.000 0.820
0.000 0.500 0.180
0.500 0.500 0.000
0.000 0.000 0.000
```

Calculated total energy ... -39.761 eV per cell
Total magnetic moment ... 0.0 μB/f.u.
Theoretical density ... 7.57 g cm⁻³

***

Entry 7:
Entry from OQMD: an optimized crystal structure of ErTmNi2Ge (PBE-GGA).

Structure (POSCAR):
```
ErTmNi2Ge
1.0
3.556 0.000 0.000
0.000 1.961 6.550
0.000 -1.961 6.550
Ni Tm Er Ge
2 1 1 1
direct
0.500 0.195 0.195
0.500 0.806 0.806
0.000 0.370 0.370
0.000 0.630 0.630
0.500 0.000 0.000
```

Calculated total energy ... -27.916 eV per cell
Total magnetic moment ... 0.0 μB/f.u.
Theoretical density ... 9.57 g cm⁻³

***

Entry 8:
Entry from OQMD: an optimized crystal structure of Tb3PaP4 (PBE-GGA).

Structure (POSCAR):
```
Tb3PaP4
1.0
4.001 -5.656 0.000
4.001 5.656 0.000
0.000 0.000 4.010
P Tb Pa
4 3 1
direct
0.754 0.246 0.000
0.246 0.754 0.000
0.755 0.755 0.500
0.245 0.245 0.500
0.500 0.000 0.500
0.000 0.500 0.500
0.500 0.500 0.000
0.000 0.000 0.000
```

Calculated total energy ... -57.414 eV per cell
Total magnetic moment ... 0.0 μB/f.u.
Theoretical density ... 7.61 g cm⁻³

***

Entry 9:
Entry from OQMD: an optimized crystal structure of HoSn2 (PBE-GGA).

Structure (POSCAR):
```
HoSn2
1.0
0.564 -3.249 3.860
-3.917 -2.858 1.505
0.022 -5.001 -0.874
Sn Ho
2 1
direct
0.750 0.750 0.750
0.250 0.250 0.250
0.000 0.000 0.000
```

Calculated total energy ... -13.172 eV per cell
Total magnetic moment ... 0.0 μB/f.u.
Theoretical density ... 7.22 g cm⁻³

***

Entry 10:
Entry from OQMD: an optimized crystal structure of Ga2SnMo2 (PBE-GGA).

Structure (POSCAR):
```
Ga2SnMo2
1.0
-1.806 1.806 6.780
1.806 -1.806 6.780
1.806 1.806 -6.780
Ga Mo Sn
2 2 1
direct
0.750 0.250 0.500
0.250 0.750 0.500
0.403 0.403 0.000
0.597 0.597 0.000
0.000 0.000 0.000
```

Calculated total energy ... -30.661 eV per cell
Total magnetic moment ... 0.0 μB/f.u.
Theoretical density ... 8.45 g cm⁻³

***

Copy entry 10 word for word.
Entry from OQMD: an optimized crystal structure of Ga2SnMo2 (PBE-GGA).

Structure (POSCAR):
```
Ga2SnMo2
1.0
-1.806 1.806 6.780
1.806 -1.806 6.780
1.806 1.806 -6.780
Ga Mo Sn
2 2 1
direct
0.750 0.250 0.500
0.250 0.750 0.500
0.403 0.403 0.000
0.597 0.597 0.000
0.000 0.000 0.000
```

Calculated total energy ... -30.661 eV per cell
Total magnetic moment ... 0.0 μB/f.u.
Theoretical density ... 8.45 g cm⁻³